Ca3Cd6Ga2Ag PBE optimized geometry; total magnetic moment = 0.00 μB per cell; density = 5.73 g/cm³; formation energy from the elements = -0.141 eV/atom
1.0
5.892 0.000 0.000
-2.946 5.103 0.000
0.000 0.000 10.044
Ca Cd Ga Ag
3 6 2 1
Direct
0.000 0.000 0.000
0.333 0.667 0.577
0.667 0.333 0.423
0.170 0.340 0.265
0.170 0.830 0.265
0.340 0.170 0.735
0.660 0.830 0.265
0.830 0.170 0.735
0.830 0.660 0.735
0.333 0.667 0.922
0.667 0.333 0.078
0.000 0.000 0.500